Record 1
9
Lattice="8.981 -1.772 0.000 8.981 1.772 0.000 -1.498 0.000 9.923" Properties=species:S:1:pos:R:3 comment="PBE Pr2Nd2Sm5, relaxed" polymorph_energy_mev_per_atom=0 sg="No. 12" final_energy_ev_per_atom=-4.6103 formation_energy_ev_per_atom=0.133 magnetic_moment_mub_per_atom=0.000 pbc="T T T"
Pr 2.600 0.000 2.234
Pr 13.864 0.000 7.688
Nd 8.426 0.000 3.102
Nd 8.038 0.000 6.821
Sm 0.000 0.000 0.000
Sm 1.835 0.000 8.617
Sm 5.231 0.000 4.576
Sm 11.233 0.000 5.347
Sm 14.629 0.000 1.306

Record 2
29
Lattice="0.000 8.137 8.137 8.137 0.000 8.137 8.137 8.137 0.000" Properties=species:S:1:pos:R:3 comment="PBE Pr16Nd7Sm6, relaxed" sg="No. 225" final_energy_ev_per_atom=-4.5570 formation_energy_ev_per_atom=0.207 magnetic_moment_mub_per_atom=0.000 pbc="T T T"
Pr 10.600 5.674 5.674
Pr 2.048 2.048 2.048
Pr 6.089 6.089 2.048
Pr 6.089 2.048 6.089
Pr 5.674 5.674 5.674
Pr 10.600 10.600 5.674
Pr 10.600 5.674 10.600
Pr 14.225 10.185 10.185
Pr 2.048 6.089 6.089
Pr 5.674 10.600 5.674
Pr 5.674 5.674 10.600
Pr 10.600 10.600 10.600
Pr 10.185 14.225 10.185
Pr 10.185 10.185 14.225
Pr 14.225 14.225 14.225
Pr 5.674 10.600 10.600
Nd 0.000 0.000 0.000
Nd 4.068 4.068 0.000
Nd 4.068 0.000 4.068
Nd 8.137 4.068 4.068
Nd 0.000 4.068 4.068
Nd 4.068 8.137 4.068
Nd 4.068 4.068 8.137
Sm 8.137 8.137 4.365
Sm 8.137 4.365 8.137
Sm 11.909 8.137 8.137
Sm 4.365 8.137 8.137
Sm 8.137 11.909 8.137
Sm 8.137 8.137 11.909

Record 3
14
Lattice="17.887 0.000 0.000 0.000 3.573 0.000 -4.277 0.000 7.757" Properties=species:S:1:pos:R:3 comment="PBE Pr2Nd3Sm2, relaxed" polymorph_energy_mev_per_atom=84 sg="No. 12" final_energy_ev_per_atom=-4.6604 formation_energy_ev_per_atom=0.097 magnetic_moment_mub_per_atom=0.000 pbc="T T T"
Pr 1.211 0.000 2.556
Pr 3.456 1.786 5.202
Pr 10.154 1.786 2.556
Pr 12.399 0.000 5.202
Nd -2.139 0.000 3.879
Nd 0.377 0.000 6.235
Nd 4.289 1.786 1.522
Nd 6.805 1.786 3.879
Nd 9.321 1.786 6.235
Nd 13.233 0.000 1.522
Sm -2.723 1.786 7.033
Sm 7.389 0.000 0.724
Sm 6.221 0.000 7.033
Sm 16.333 1.786 0.724

Record 4
11
Lattice="12.297 -1.768 0.000 12.297 1.768 0.000 -1.076 0.000 8.979" Properties=species:S:1:pos:R:3 comment="PBE Pr4Nd5Sm2, relaxed" polymorph_energy_mev_per_atom=0 sg="No. 12" final_energy_ev_per_atom=-4.6353 formation_energy_ev_per_atom=0.128 magnetic_moment_mub_per_atom=0.000 pbc="T T T"
Pr 0.742 0.000 3.245
Pr 7.348 0.000 4.747
Pr 16.170 0.000 4.232
Pr 22.775 0.000 5.733
Nd 3.344 0.000 1.017
Nd 4.785 0.000 7.408
Nd 12.297 0.000 0.000
Nd 18.732 0.000 1.571
Nd 20.174 0.000 7.962
Sm 1.424 0.000 6.586
Sm 22.093 0.000 2.393

Record 5
11
Lattice="-2.433 2.433 16.903 2.433 -2.433 16.903 2.433 2.433 -16.903" Properties=species:S:1:pos:R:3 comment="PBE Pr3Nd2Sm6, relaxed" polymorph_energy_mev_per_atom=237 sg="No. 139" final_energy_ev_per_atom=-4.4951 formation_energy_ev_per_atom=0.249 magnetic_moment_mub_per_atom=0.000 pbc="T T T"
Pr 0.000 0.000 0.000
Pr 0.000 0.000 6.866
Pr 0.000 0.000 26.940
Nd 0.000 0.000 15.358
Nd 0.000 0.000 18.448
Sm 2.433 0.000 4.057
Sm 0.000 0.000 10.330
Sm 2.433 0.000 12.846
Sm 0.000 2.433 4.057
Sm 0.000 0.000 23.476
Sm 0.000 2.433 12.846

Record 6
10
Lattice="4.415 -8.253 0.000 4.415 8.253 0.000 0.000 0.000 5.595" Properties=species:S:1:pos:R:3 comment="PBE PrNd2Sm7, relaxed" polymorph_energy_mev_per_atom=251 sg="No. 65" final_energy_ev_per_atom=-4.0968 formation_energy_ev_per_atom=0.638 magnetic_moment_mub_per_atom=0.000 pbc="T T T"
Pr 0.000 0.000 0.000
Nd 4.415 3.354 2.798
Nd 4.415 -3.354 2.798
Sm 1.584 1.877 2.798
Sm 4.415 4.581 0.000
Sm 1.584 -1.877 2.798
Sm 4.415 0.000 2.798
Sm 7.245 1.877 2.798
Sm 4.415 -4.581 0.000
Sm 7.245 -1.877 2.798